A plane-wave DFT calculation with PBE was carried out for a relaxed YTa2Mn crystal.

E_form ... 0.4912 eV/atom
Relative energy among the computed polymorphs ... 289 meV/atom
Total moment ... 2.3 μB per formula unit

Geometry as CIF:
```
data_YTa2Mn
_symmetry_space_group_name_H-M 'C 1 2/m 1'
_symmetry_Int_Tables_number 12
_symmetry_space_group_name_Hall '-C 2y'
_cell_length_a 5.591
_cell_length_b 9.986
_cell_length_c 2.937
_cell_angle_alpha 90.00
_cell_angle_beta 110.32
_cell_angle_gamma 90.00
loop_
_atom_site_label
_atom_site_fract_x
_atom_site_fract_y
_atom_site_fract_z
Y1 0.000 0.000 0.000
Ta1 0.250 0.250 0.500
Mn1 0.000 0.500 0.000
```

A plane-wave DFT calculation with PBE was carried out for a relaxed FeReIr2 crystal.

E_form ... -0.1355 eV/atom
Relative energy among the computed polymorphs ... 8 meV/atom
Total moment ... 3.0 μB per formula unit

Geometry as CIF:
```
data_FeReIr2
_symmetry_space_group_name_H-M 'P 4/m m m'
_symmetry_Int_Tables_number 123
_symmetry_space_group_name_Hall '-P 4 2'
_cell_length_a 2.740
_cell_length_b 2.740
_cell_length_c 7.516
_cell_angle_alpha 90.00
_cell_angle_beta 90.00
_cell_angle_gamma 90.00
loop_
_atom_site_label
_atom_site_fract_x
_atom_site_fract_y
_atom_site_fract_z
Fe1 0.000 0.000 0.000
Re1 0.000 0.000 0.500
Ir1 0.500 0.500 0.247
```

A plane-wave DFT calculation with PBE was carried out for a relaxed Th2CrP3Rh12 crystal.

E_form ... -0.3140 eV/atom
Total moment ... 2.7 μB per formula unit

Geometry as CIF:
```
data_Th2CrP3Rh12
_symmetry_space_group_name_H-M 'R -3 m'
_symmetry_Int_Tables_number 166
_symmetry_space_group_name_Hall '-R 3 2"'
_cell_length_a 8.4687
_cell_length_b 8.4687
_cell_length_c 15.0599
_cell_angle_alpha 90.00
_cell_angle_beta 90.00
_cell_angle_gamma 120.00
loop_
_atom_site_label
_atom_site_fract_x
_atom_site_fract_y
_atom_site_fract_z
Th1 0.0000 0.0000 0.1117
Cr1 0.0000 0.0000 0.5000
P1 0.0000 0.5000 0.0000
Rh1 0.0106 0.5053 0.8532
Rh2 0.0490 0.5245 0.3582
```

A plane-wave DFT calculation with PBE was carried out for a relaxed Pu4ThIr4 crystal.

E_form ... -0.4553 eV/atom
Total moment ... 21.0 μB per formula unit

Geometry as CIF:
```
data_Pu4ThIr4
_symmetry_space_group_name_H-M 'I 4/m'
_symmetry_Int_Tables_number 87
_symmetry_space_group_name_Hall '-I 4'
_cell_length_a 10.136
_cell_length_b 10.136
_cell_length_c 4.272
_cell_angle_alpha 90.00
_cell_angle_beta 90.00
_cell_angle_gamma 90.00
loop_
_atom_site_label
_atom_site_fract_x
_atom_site_fract_y
_atom_site_fract_z
Pu1 0.145 0.353 0.000
Th1 0.000 0.000 0.000
Ir1 0.078 0.190 0.500
```

A plane-wave DFT calculation with PBE was carried out for a relaxed Tb3Al2Si3 crystal.

Raw formation energy ... -0.59 eV per atom
Total moment ... 0.0 μB per formula unit

Geometry as CIF:
```
data_Tb3Al2Si3
_symmetry_space_group_name_H-M 'C m c m'
_symmetry_Int_Tables_number 63
_symmetry_space_group_name_Hall '-C 2c 2'
_cell_length_a 4.169
_cell_length_b 10.797
_cell_length_c 14.890
_cell_angle_alpha 90.00
_cell_angle_beta 90.00
_cell_angle_gamma 90.00
loop_
_atom_site_label
_atom_site_fract_x
_atom_site_fract_y
_atom_site_fract_z
Tb1 0.000 0.073 0.250
Tb2 0.000 0.368 0.097
Al1 0.000 0.346 0.619
Si1 0.000 0.081 0.053
Si2 0.000 0.200 0.750
```

A plane-wave DFT calculation with PBE was carried out for a relaxed HoTmMgRu crystal.

E_form ... -0.3286 eV/atom
Relative energy among the computed polymorphs ... 0 meV/atom
Total moment ... 0.0 μB per formula unit

Geometry as CIF:
```
data_HoTmMgRu
_symmetry_space_group_name_H-M 'P 4 m m'
_symmetry_Int_Tables_number 99
_symmetry_space_group_name_Hall 'P 4 -2'
_cell_length_a 3.413
_cell_length_b 3.413
_cell_length_c 8.037
_cell_angle_alpha 90.00
_cell_angle_beta 90.00
_cell_angle_gamma 90.00
loop_
_atom_site_label
_atom_site_fract_x
_atom_site_fract_y
_atom_site_fract_z
Ho1 0.000 0.000 0.000
Tm1 0.000 0.000 0.595
Mg1 0.500 0.500 0.300
Ru1 0.500 0.500 0.795
```

Values for total DFT energy (no corrections), eV/atom, ordered as above
-9.3436; -9.7937; -7.4756; -11.5877; -5.3003; -5.3085